Entry from Alexandria: crystalline NdErPa at its relaxed geometry (PBE).

Structure (POSCAR):
```
NdErPa
1.0
4.656 0.000 0.000
0.000 4.656 0.000
0.000 0.000 8.550
Nd Er Pa
2 2 2
Direct
0.250 0.250 0.189 Nd
0.750 0.750 0.811 Nd
0.250 0.250 0.776 Er
0.750 0.750 0.224 Er
0.250 0.750 0.500 Pa
0.750 0.250 0.500 Pa
```

Properties
The total energy comes out at -5.99 eV/atom.


Entry from Alexandria: crystalline NdErPa at its relaxed geometry (PBE).

Structure (POSCAR):
```
NdErPa
1.0
3.442 0.000 0.000
-1.721 2.981 0.000
0.000 0.000 8.649
Nd Er Pa
1 1 1
Direct
0.000 0.000 0.000 Nd
0.333 0.667 0.637 Er
0.667 0.333 0.325 Pa
```

Properties
The total energy comes out at -6.13 eV/atom.


Entry from Alexandria: crystalline NdEr2Pa at its relaxed geometry (PBE).

Structure (POSCAR):
```
NdEr2Pa
1.0
3.427 0.000 0.000
0.000 3.427 0.000
0.000 0.000 10.166
Nd Er Pa
1 2 1
Direct
0.000 0.000 0.000 Nd
0.500 0.500 0.271 Er
0.500 0.500 0.729 Er
0.000 0.000 0.500 Pa
```

Properties
The total energy comes out at -5.72 eV/atom.


Entry from Alexandria: crystalline NdErPa at its relaxed geometry (PBE).

Structure (POSCAR):
```
NdErPa
1.0
-1.706 1.706 7.701
1.706 -1.706 7.701
1.706 1.706 -7.701
Nd Er Pa
1 1 1
Direct
0.000 0.000 0.000 Nd
0.689 0.689 0.000 Er
0.341 0.341 0.000 Pa
```

Properties
The total energy comes out at -6.11 eV/atom.


What are the calculated formation energy values for these records? In order: 6.56, 3.44, 2.86, 3.93 kcal/mol of atoms.
What are the N(E_F) values for these records? In order: 10.1, 4.6, 7.0, 4.9 states/eV/cell.
What are the magnetic moment values for these records? In order: 0.00, 0.00, 0.16, 0.00 μB per formula unit.